Below is a PBEsol-optimized structure of SnOsWI2, with properties calculated at the meta-GGA SCAN level.

Results
total moment = 0.00 Bohr magnetons per cell
DOS at the Fermi energy = 1.10 states/eV per atom
space-group type = P4/mmm, No. 123
ΔE_f (raw) = 1.57 eV/atom

Unit cell a=4.8052 b=5.2992 c=5.2992 alpha=90.00 beta=90.00 gamma=90.00
Last column: nearest neighbours and their distance in Å.
Element x y z (fractional)
Sn (0.5000, 0.5000, 0.5000)  8 I 3.58, 4 Os 3.75
I (0.0000, 0.5000, 0.0000)  2 W 2.65
W (0.0000, 0.0000, 0.0000)  2 Os 2.40, 4 I 2.65
Os (0.5000, 0.0000, 0.0000)  2 W 2.40
I (0.0000, 0.0000, 0.5000)  2 W 2.65